one:
Here is a relaxed structure of LiZrAu2 from the Alexandria database. Energies are from PBE.

Summary:
Its density of states at the Fermi level is 4.3 states/eV per cell. As for the space group: I-42d (122).

Cell and atoms, written as POSCAR:
```
LiZrAu2
1.0
-2.1424 2.1424 8.8509
2.1424 -2.1424 8.8509
2.1424 2.1424 -8.8509
Li Zr Au
2 2 4
Cartesian
0.0000 0.0000 0.0000 Li
0.0000 2.1424 4.4255 Li
2.1424 0.0000 4.4255 Zr
0.0000 0.0000 8.8509 Zr
3.2136 0.8977 -2.2127 Au
0.8977 1.0712 2.2127 Au
-1.0712 1.2447 6.6382 Au
1.2447 1.0712 11.0636 Au
```

two:
Here is a relaxed structure of LiZrAu2 from the Alexandria database. Energies are from PBE.

Summary:
Its density of states at the Fermi level is 2.0 states/eV per cell. As for the space group: C2/m (12).

Cell and atoms, written as POSCAR:
```
LiZrAu2
1.0
4.0566 -1.4538 0.0000
4.0566 1.4538 0.0000
-0.8197 0.0000 6.3280
Li Zr Au
1 1 2
Cartesian
0.0000 0.0000 0.0000 Li
3.6467 0.0000 3.1640 Zr
1.4171 0.0000 4.9493 Au
5.8764 0.0000 1.3786 Au
```

three:
Here is a relaxed structure of LiZrAu2 from the Alexandria database. Energies are from PBE.

Summary:
Its density of states at the Fermi level is 3.3 states/eV per cell. As for the space group: P4mm (99).

Cell and atoms, written as POSCAR:
```
LiZrAu2
1.0
3.5976 0.0000 0.0000
0.0000 3.5976 0.0000
0.0000 0.0000 5.8445
Li Zr Au
1 1 2
Cartesian
0.0000 0.0000 0.0000 Li
1.7988 1.7988 1.9562 Zr
0.0000 0.0000 3.1737 Au
1.7988 1.7988 4.9808 Au
```

four:
Here is a relaxed structure of LiZrAu2 from the Alexandria database. Energies are from PBE.

Summary:
Its density of states at the Fermi level is 2.5 states/eV per cell. As for the space group: I-4m2 (119).

Cell and atoms, written as POSCAR:
```
LiZrAu2
1.0
-2.0857 2.0857 4.0753
2.0857 -2.0857 4.0753
2.0857 2.0857 -4.0753
Li Zr Au
1 1 2
Cartesian
0.0000 0.0000 0.0000 Li
2.0857 0.0000 2.0377 Zr
0.0000 0.0000 4.0753 Au
0.0000 2.0857 2.0377 Au
```

Which structure is the least stable? The one labeled one.

one:
Here is a relaxed structure of LiZrAu2 from the Alexandria database. Energies are from PBE.

Summary:
Its density of states at the Fermi level is 1.8 states/eV per cell. As for the space group: Pmm2 (25).

Cell and atoms, written as POSCAR:
```
LiZrAu2
1.0
2.9234 0.0000 0.0000
0.0000 4.9653 0.0000
0.0000 0.0000 5.0943
Li Zr Au
1 1 2
Cartesian
0.0000 0.0000 0.0000 Li
0.0000 2.4827 2.9103 Zr
1.4617 0.0000 2.4076 Au
1.4617 2.4827 0.3520 Au
```

two:
Here is a relaxed structure of LiZrAu2 from the Alexandria database. Energies are from PBE.

Summary:
Its density of states at the Fermi level is 1.9 states/eV per cell. As for the space group: R-3m (166).

Cell and atoms, written as POSCAR:
```
LiZrAu2
1.0
1.5612 0.9014 8.8770
-1.5612 0.9014 8.8770
0.0000 -1.8027 8.8770
Li Zr Au
1 1 2
Cartesian
0.0000 0.0000 0.0000 Li
0.0000 0.0000 13.3155 Zr
0.0000 0.0000 6.7798 Au
0.0000 0.0000 19.8512 Au
```

three:
Here is a relaxed structure of LiZrAu2 from the Alexandria database. Energies are from PBE.

Summary:
Its density of states at the Fermi level is 2.4 states/eV per cell. As for the space group: P2/m (10).

Cell and atoms, written as POSCAR:
```
LiZrAu2
1.0
3.0201 0.0000 0.0000
0.0000 3.4356 0.0000
-0.0012 0.0000 6.8289
Li Zr Au
1 1 2
Cartesian
0.0000 0.0000 0.0000 Li
-0.0006 0.0000 3.4145 Zr
1.5046 1.7178 1.5203 Au
1.5143 1.7178 5.3087 Au
```

Which structure is the least stable? The one labeled two.

one:
Here is a relaxed structure of Lu2MnAu from the Alexandria database. Energies are from PBE.

Summary:
Its density of states at the Fermi level is 5.2 states/eV per cell. As for the space group: Fm-3m (225).

Cell and atoms, written as POSCAR:
```
Lu2MnAu
1.0
0.0000 3.5038 3.5038
3.5038 0.0000 3.5038
3.5038 3.5038 0.0000
Lu Mn Au
2 1 1
Cartesian
1.7519 1.7519 1.7519 Lu
5.2557 5.2557 5.2557 Lu
0.0000 0.0000 0.0000 Mn
3.5038 3.5038 3.5038 Au
```

two:
Here is a relaxed structure of Lu2MnAu from the Alexandria database. Energies are from PBE.

Summary:
Its density of states at the Fermi level is 4.5 states/eV per cell. As for the space group: P4/mmm (123).

Cell and atoms, written as POSCAR:
```
Lu2MnAu
1.0
3.4693 0.0000 0.0000
0.0000 3.4693 0.0000
0.0000 0.0000 7.0185
Lu Mn Au
2 1 1
Cartesian
0.0000 0.0000 1.7111 Lu
0.0000 0.0000 5.3074 Lu
1.7346 1.7346 0.0000 Mn
1.7346 1.7346 3.5093 Au
```

Which structure is the least stable? The one labeled one.

one:
Here is a relaxed structure of NdLuAu from the Alexandria database. Energies are from PBE.

Summary:
Its density of states at the Fermi level is 2.8 states/eV per cell. As for the space group: P3m1 (156).

Cell and atoms, written as POSCAR:
```
NdLuAu
1.0
4.8791 0.0000 0.0000
-2.4395 4.2254 0.0000
0.0000 0.0000 4.0143
Nd Lu Au
1 1 1
Cartesian
0.0000 0.0000 0.0000 Nd
0.0000 2.8169 1.9808 Lu
2.4395 1.4085 2.3472 Au
```

two:
Here is a relaxed structure of NdLuAu from the Alexandria database. Energies are from PBE.

Summary:
Its density of states at the Fermi level is 4.0 states/eV per cell. As for the space group: I4mm (107).

Cell and atoms, written as POSCAR:
```
NdLuAu
1.0
-1.7937 1.7937 6.3268
1.7937 -1.7937 6.3268
1.7937 1.7937 -6.3268
Nd Lu Au
1 1 1
Cartesian
0.0000 0.0000 0.0000 Nd
0.0000 0.0000 3.6370 Lu
0.0000 0.0000 8.4662 Au
```

Which structure is the least stable? The one labeled one.

one:
Here is a relaxed structure of LuPaAu2 from the Alexandria database. Energies are from PBE.

Summary:
Its density of states at the Fermi level is 5.5 states/eV per cell. As for the space group: Fm-3m (225).

Cell and atoms, written as POSCAR:
```
LuPaAu2
1.0
0.0000 3.5811 3.5811
3.5811 0.0000 3.5811
3.5811 3.5811 0.0000
Lu Pa Au
1 1 2
Cartesian
0.0000 0.0000 0.0000 Lu
3.5811 3.5811 3.5811 Pa
1.7906 1.7906 1.7906 Au
5.3717 5.3717 5.3717 Au
```

two:
Here is a relaxed structure of LuPaAu2 from the Alexandria database. Energies are from PBE.

Summary:
Its density of states at the Fermi level is 4.3 states/eV per cell. As for the space group: P4/mmm (123).

Cell and atoms, written as POSCAR:
```
LuPaAu2
1.0
3.4375 0.0000 0.0000
0.0000 3.4375 0.0000
0.0000 0.0000 7.6478
Lu Pa Au
1 1 2
Cartesian
0.0000 0.0000 0.0000 Lu
0.0000 0.0000 3.8239 Pa
1.7187 1.7187 1.7585 Au
1.7187 1.7187 5.8893 Au
```

three:
Here is a relaxed structure of LuPaAu2 from the Alexandria database. Energies are from PBE.

Summary:
Its density of states at the Fermi level is 4.9 states/eV per cell. As for the space group: R-3m (166).

Cell and atoms, written as POSCAR:
```
LuPaAu2
1.0
1.7323 1.0001 9.0565
-1.7323 1.0001 9.0565
0.0000 -2.0003 9.0565
Lu Pa Au
1 1 2
Cartesian
0.0000 0.0000 0.0000 Lu
0.0000 0.0000 13.5848 Pa
0.0000 0.0000 6.9347 Au
0.0000 0.0000 20.2349 Au
```

Which structure is the least stable? The one labeled three.

one:
Here is a relaxed structure of LuPb2Au from the Alexandria database. Energies are from PBE.

Summary:
Its density of states at the Fermi level is 2.6 states/eV per cell. As for the space group: P4/mmm (123).

Cell and atoms, written as POSCAR:
```
LuPb2Au
1.0
4.6942 0.0000 0.0000
0.0000 4.6942 0.0000
0.0000 0.0000 4.5378
Lu Pb Au
1 2 1
Cartesian
0.0000 0.0000 0.0000 Lu
0.0000 2.3471 2.2689 Pb
2.3471 0.0000 2.2689 Pb
2.3471 2.3471 0.0000 Au
```

two:
Here is a relaxed structure of LuPb2Au from the Alexandria database. Energies are from PBE.

Summary:
Its density of states at the Fermi level is 2.2 states/eV per cell. As for the space group: R-3m (166).

Cell and atoms, written as POSCAR:
```
LuPb2Au
1.0
1.7580 1.0150 10.6307
-1.7580 1.0150 10.6307
0.0000 -2.0300 10.6307
Lu Pb Au
1 2 1
Cartesian
0.0000 0.0000 0.0000 Lu
0.0000 0.0000 3.1099 Pb
0.0000 0.0000 28.7823 Pb
0.0000 0.0000 15.9461 Au
```

Which structure is the least stable? The one labeled two.

one:
Here is a relaxed structure of Pm2LuAu from the Alexandria database. Energies are from PBE.

Summary:
Its density of states at the Fermi level is 4.7 states/eV per cell. As for the space group: R-3m (166).

Cell and atoms, written as POSCAR:
```
Pm2LuAu
1.0
1.7644 1.0187 11.4725
-1.7644 1.0187 11.4725
0.0000 -2.0373 11.4725
Pm Lu Au
2 1 1
Cartesian
0.0000 0.0000 2.8797 Pm
0.0000 0.0000 31.5379 Pm
0.0000 0.0000 17.2088 Lu
0.0000 0.0000 0.0000 Au
```

two:
Here is a relaxed structure of Pm2LuAu from the Alexandria database. Energies are from PBE.

Summary:
Its density of states at the Fermi level is 6.0 states/eV per cell. As for the space group: P4/mmm (123).

Cell and atoms, written as POSCAR:
```
Pm2LuAu
1.0
3.7189 0.0000 0.0000
0.0000 3.7189 0.0000
0.0000 0.0000 8.3010
Pm Lu Au
2 1 1
Cartesian
0.0000 0.0000 1.7911 Pm
0.0000 0.0000 6.5099 Pm
1.8594 1.8594 4.1505 Lu
1.8594 1.8594 0.0000 Au
```

Which structure is the least stable? The one labeled one.

one:
Here is a relaxed structure of PmLuAu from the Alexandria database. Energies are from PBE.

Summary:
Its density of states at the Fermi level is 3.9 states/eV per cell. As for the space group: I4mm (107).

Cell and atoms, written as POSCAR:
```
PmLuAu
1.0
-1.7924 1.7924 6.2512
1.7924 -1.7924 6.2512
1.7924 1.7924 -6.2512
Pm Lu Au
1 1 1
Cartesian
0.0000 0.0000 0.0000 Pm
0.0000 0.0000 8.8905 Lu
0.0000 0.0000 4.1743 Au
```

two:
Here is a relaxed structure of PmLuAu from the Alexandria database. Energies are from PBE.

Summary:
Its density of states at the Fermi level is 3.8 states/eV per cell. As for the space group: F-43m (216).

Cell and atoms, written as POSCAR:
```
PmLuAu
1.0
0.0000 3.5296 3.5296
3.5296 0.0000 3.5296
3.5296 3.5296 0.0000
Pm Lu Au
1 1 1
Cartesian
0.0000 0.0000 0.0000 Pm
3.5296 3.5296 3.5296 Lu
5.2943 5.2943 5.2943 Au
```

Which structure is the least stable? The one labeled two.